Entry from Alexandria: ZrTi4In3 after structural relaxation (PBE-GGA).

Summary:
Crystal system: tetragonal
DFT formation energy: -0.1367 eV/atom

abc: 4.3304 4.3304 8.2724
angles: 90.00 90.00 90.00
Closest atoms and distances in Å follow each position.
Space group P4/mmm (No. 123)
Inequivalent atoms, fractional coordinates:
Zr: 0.0000 0.0000 0.0000 [1 per cell]  8 Ti 3.00, 4 In 3.06
Ti: 0.0000 0.5000 0.2508 [4 per cell]  6 In 2.99-3.00, 2 Zr 3.00, 4 Ti 3.06
In: 0.0000 0.0000 0.5000 [1 per cell]  8 Ti 2.99, 4 In 3.06
In: 0.5000 0.5000 0.0000 [1 per cell]  8 Ti 3.00, 4 Zr 3.06
In: 0.5000 0.5000 0.5000 [1 per cell]  8 Ti 2.99, 4 In 3.06



Entry from Alexandria: PbCl4 after structural relaxation (PBE-GGA).

Summary:
Polymorph energy (0 for the lowest one): 16 meV per atom
Formation energy (no corrections): -0.5969 eV per atom
Crystal system: monoclinic

abc: 7.4321 12.8932 8.0895
angles: 90.00 91.76 90.00
Closest atoms and distances in Å follow each position.
Space group C2/m (No. 12)
Inequivalent atoms, fractional coordinates:
Pb: 0.0000 0.1701 0.0000 [4 per cell]  6 Cl 2.74-2.78
Cl: 0.1002 0.0000 0.8129 [4 per cell]  2 Pb 2.78, 1 Cl 2.95
Cl: 0.1020 0.5000 0.4207 [4 per cell]  1 Cl 2.02
Cl: 0.1850 0.3092 0.8140 [8 per cell]  2 Pb 2.74-2.76



Entry from Alexandria: Ca3GaHg12 after structural relaxation (PBE-GGA).

Summary:
Crystal system: tetragonal
DFT formation energy: -0.2748 eV/atom

abc: 4.7322 4.7322 18.2582
angles: 90.00 90.00 90.00
Closest atoms and distances in Å follow each position.
Space group P4/mmm (No. 123)
Inequivalent atoms, fractional coordinates:
Ca: 0.0000 0.0000 0.0000 [1 per cell]  12 Hg 3.32-3.35
Ca: 0.0000 0.0000 0.2577 [2 per cell]  12 Hg 3.29-3.35
Ga: 0.0000 0.0000 0.5000 [1 per cell]  12 Hg 3.19-3.35
Hg: 0.0000 0.5000 0.1279 [4 per cell]  8 Hg 3.30-3.35, 4 Ca 3.32-3.35
Hg: 0.0000 0.5000 0.3828 [4 per cell]  8 Hg 3.19-3.35, 2 Ga 3.19, 2 Ca 3.29
Hg: 0.5000 0.5000 0.0000 [1 per cell]  8 Hg 3.32, 4 Ca 3.35
Hg: 0.5000 0.5000 0.2540 [2 per cell]  8 Hg 3.30-3.34, 4 Ca 3.35
Hg: 0.5000 0.5000 0.5000 [1 per cell]  8 Hg 3.19, 4 Ga 3.35



Entry from Alexandria: HF after structural relaxation (PBE-GGA).

Summary:
Polymorph energy (0 for the lowest one): 115 meV per atom
Crystal system: tetragonal

abc: 8.5615 8.5615 2.2603
angles: 90.00 90.00 90.00
Closest atoms and distances in Å follow each position.
Space group P4/m (No. 83)
Inequivalent atoms, fractional coordinates:
H: 0.0583 0.2648 0.0000 [4 per cell]  2 F 1.13
H: 0.2490 0.5823 0.5000 [4 per cell]  2 F 1.14
F: 0.0685 0.2581 0.5000 [4 per cell]  2 H 1.13
F: 0.2433 0.5707 0.0000 [4 per cell]  2 H 1.14



Entry from Alexandria: Hg2SbTeW after structural relaxation (PBE-GGA).

Summary:
Formation energy (no corrections): 1.5016 eV per atom
Crystal system: tetragonal

abc: 5.4388 5.4388 6.0277
angles: 90.00 90.00 90.00
Closest atoms and distances in Å follow each position.
Space group P4/mmm (No. 123)
Inequivalent atoms, fractional coordinates:
Hg: 0.0000 0.5000 0.0000 [2 per cell]  2 Sb 2.72
Sb: 0.0000 0.0000 0.0000 [1 per cell]  4 Hg 2.72, 2 Te 3.01
Te: 0.0000 0.0000 0.5000 [1 per cell]  2 Sb 3.01
W: 0.5000 0.5000 0.5000 [1 per cell]  4 Te 3.85, 8 Hg 4.06



Entry from Alexandria: Fe2TcIrN after structural relaxation (PBE-GGA).

Summary:
Formation energy (no corrections): 0.0424 eV per atom
Crystal system: tetragonal

abc: 3.8581 3.8581 3.9535
angles: 90.00 90.00 90.00
Closest atoms and distances in Å follow each position.
Space group P4/mmm (No. 123)
Inequivalent atoms, fractional coordinates:
Fe: 0.0000 0.5000 0.0000 [2 per cell]  2 N 1.93
Tc: 0.0000 0.0000 0.5000 [1 per cell]  2 N 1.98
Ir: 0.5000 0.5000 0.5000 [1 per cell]  4 Tc 2.73, 8 Fe 2.76
N: 0.0000 0.0000 0.0000 [1 per cell]  4 Fe 1.93, 2 Tc 1.98